No. 1
Material: Er8IrRu5
Method: DFT, PBE-GGA
State: optimized geometry

Lattice parameters (Å, degrees): 7.3227 7.3227 7.3227 109.62 109.18 109.62
Closest atoms and distances in Å follow each position.
Fractional coordinates of all 14 atoms:
1 Er 0.1010 0.7435 0.9940  4 Ru 2.80-3.04, 1 Ir 2.83
2 Er 0.0060 0.1070 0.7495  4 Ru 2.80-3.04, 1 Ir 2.83
3 Er 0.7758 0.2581 0.4016  3 Ru 2.73-2.81, 1 Ir 2.95
4 Er 0.5984 0.3743 0.8565  3 Ru 2.73-2.81, 1 Ir 2.95
5 Er 0.4823 0.6257 0.2242  3 Ru 2.73-2.81, 1 Ir 2.95
6 Er 0.6425 0.8930 0.8990  4 Ru 2.80-3.04, 1 Ir 2.83
7 Er 0.2505 0.2565 0.3575  4 Ru 2.80-3.04, 1 Ir 2.83
8 Er 0.1435 0.7419 0.5177  3 Ru 2.73-2.81, 1 Ir 2.95
9 Ir 0.2500 0.5000 0.7500  8 Er 2.83-2.95
10 Ru 0.9712 0.3693 0.1017  6 Er 2.75-3.04
11 Ru 0.8983 0.8694 0.2675  6 Er 2.75-3.04
12 Ru 0.7325 0.6307 0.6019  6 Er 2.75-3.04
13 Ru 0.5000 0.0000 0.5000  4 Er 2.73
14 Ru 0.3981 0.1306 0.0288  6 Er 2.75-3.04

Calculated values
Formation energy from the elements: -305 meV per atom
Total energy: -6.86 eV/atom

No. 2
Material: TiAs2RuSe
Method: DFT, PBE-GGA
State: optimized geometry

Lattice parameters (Å, degrees): 4.8330 4.8330 4.8061 90.00 90.00 90.00
Closest atoms and distances in Å follow each position.
Fractional coordinates of all 5 atoms:
1 Ru 0.5000 0.5000 0.5000  8 As 3.41, 4 Se 3.42
2 As 0.0000 0.5000 0.0000  2 Ti 2.42
3 As 0.5000 0.0000 0.0000  2 Ti 2.42
4 Se 0.0000 0.0000 0.5000  2 Ti 2.40
5 Ti 0.0000 0.0000 0.0000  2 Se 2.40, 4 As 2.42

Calculated values
Total energy: -5.34 eV/atom
ΔE to the lowest computed polymorph: 105 meV/atom
Formation energy from raw total energies: 651 meV per atom

No. 3
Material: CuIr2W
Method: DFT, PBE-GGA
State: optimized geometry

Lattice parameters (Å, degrees): 4.6876 4.6876 4.7503 81.06 81.06 33.97
Closest atoms and distances in Å follow each position.
Fractional coordinates of all 4 atoms:
1 Cu 0.2500 0.2500 0.2500  6 Ir 2.67-2.74, 2 Cu 2.74, 4 W 2.74
2 Ir 0.0025 0.0025 0.0045  3 Cu 2.67-2.74, 6 Ir 2.70-2.78, 3 W 2.72-2.73
3 Ir 0.4975 0.4975 0.4955  3 Cu 2.67-2.74, 6 Ir 2.70-2.78, 3 W 2.72-2.73
4 W 0.7500 0.7500 0.7500  6 Ir 2.72-2.73, 2 W 2.74, 4 Cu 2.74

Calculated values
Formation energy from the elements: -21 meV per atom
Total energy: -8.71 eV/atom
ΔE to the lowest computed polymorph: 138 meV/atom

No. 4
Material: SrInGe2S6
Method: DFT, PBE-GGA
State: optimized geometry

Lattice parameters (Å, degrees): 7.9643 8.8515 8.8515 78.55 68.51 68.51
Closest atoms and distances in Å follow each position.
Fractional coordinates of all 20 atoms:
1 Sr 0.2500 0.8313 0.1687  6 S 3.00-3.24
2 Sr 0.7500 0.1687 0.8313  6 S 3.00-3.24
3 In 0.2500 0.2012 0.7988  4 S 2.48-2.55
4 In 0.7500 0.7988 0.2012  4 S 2.48-2.55
5 Ge 0.3241 0.7584 0.6404  4 S 2.25-2.43
6 Ge 0.1759 0.3596 0.2416  4 S 2.25-2.43
7 Ge 0.6759 0.2416 0.3596  4 S 2.25-2.43
8 Ge 0.8241 0.6404 0.7584  4 S 2.25-2.43
9 S 0.1535 0.9487 0.8300  1 Ge 2.30, 1 In 2.55
10 S 0.3465 0.1700 0.0513  1 Ge 2.30, 1 In 2.55
11 S 0.8465 0.0513 0.1700  1 Ge 2.30, 1 In 2.55
12 S 0.6535 0.8300 0.9487  1 Ge 2.30, 1 In 2.55
13 S 0.4209 0.8923 0.3926  1 Ge 2.28, 1 In 2.48
14 S 0.0791 0.6074 0.1077  1 Ge 2.28, 1 In 2.48
15 S 0.5791 0.1077 0.6074  1 Ge 2.28, 1 In 2.48
16 S 0.9209 0.3926 0.8923  1 Ge 2.28, 1 In 2.48
17 S 0.0754 0.7096 0.5798  2 Ge 2.25-2.43
18 S 0.4246 0.4202 0.2904  2 Ge 2.25-2.43
19 S 0.9246 0.2904 0.4202  2 Ge 2.25-2.43
20 S 0.5754 0.5798 0.7096  2 Ge 2.25-2.43

Calculated values
Total energy: -4.47 eV/atom
Formation energy from raw total energies: -624 meV per atom

No. 5
Material: Tl3In7
Method: DFT, PBE-GGA
State: optimized geometry

Lattice parameters (Å, degrees): 4.4414 6.9618 10.9630 120.85 101.69 90.00
Closest atoms and distances in Å follow each position.
Fractional coordinates of all 10 atoms:
1 Tl 0.0000 0.0000 0.0000  12 In 3.31-3.61
2 Tl 0.1985 0.7950 0.3971  9 In 3.31-3.64, 2 Tl 3.37
3 Tl 0.8015 0.2050 0.6029  9 In 3.31-3.64, 2 Tl 3.37
4 In 0.0000 0.5000 0.0000  8 In 3.32-3.38, 4 Tl 3.48-3.64
5 In 0.1974 0.3008 0.3948  6 In 3.32-3.38, 5 Tl 3.43-3.61
6 In 0.8026 0.6992 0.6052  6 In 3.32-3.38, 5 Tl 3.43-3.61
7 In 0.4008 0.1006 0.8016  7 In 3.32-3.62, 5 Tl 3.39-3.70
8 In 0.5992 0.8994 0.1984  7 In 3.32-3.62, 5 Tl 3.39-3.70
9 In 0.4014 0.6003 0.8029  4 Tl 3.31, 7 In 3.38-3.62
10 In 0.5986 0.3997 0.1971  4 Tl 3.31, 7 In 3.38-3.62

Calculated values
Formation energy from the elements: 23 meV per atom
Total energy: -2.60 eV/atom

No. 6
Material: KRb8Au3
Method: DFT, PBE-GGA
State: optimized geometry

Lattice parameters (Å, degrees): 10.2406 10.2406 10.4795 60.75 60.75 60.00
Closest atoms and distances in Å follow each position.
Fractional coordinates of all 12 atoms:
1 K 0.5000 0.5000 0.5000  6 Rb 4.03
2 Rb 0.7411 0.7411 0.7767  3 Au 3.53
3 Rb 0.2589 0.2589 0.2233  3 Au 3.53
4 Rb 0.7746 0.7746 0.2077  2 Au 3.54
5 Rb 0.7746 0.2432 0.2077  2 Au 3.54
6 Rb 0.2432 0.7746 0.2077  2 Au 3.54
7 Rb 0.7568 0.2254 0.7923  2 Au 3.54
8 Rb 0.2254 0.7568 0.7923  2 Au 3.54
9 Rb 0.2254 0.2254 0.7923  2 Au 3.54
10 Au 0.0000 0.5000 0.0000  6 Rb 3.53-3.54
11 Au 0.5000 0.0000 0.0000  6 Rb 3.53-3.54
12 Au 0.5000 0.5000 0.0000  6 Rb 3.53-3.54

Calculated values
Formation energy from the elements: -92 meV per atom
Total energy: -1.65 eV/atom

No. 7
Material: IrAuSe
Method: DFT, PBE-GGA
State: optimized geometry

Lattice parameters (Å, degrees): 3.4723 3.4723 6.0147 90.00 90.00 120.00
Closest atoms and distances in Å follow each position.
Fractional coordinates of all 3 atoms:
1 Au 0.0000 0.0000 0.0558  3 Ir 2.72
2 Ir 0.6667 0.3333 0.3619  3 Se 2.40
3 Se 0.3333 0.6667 0.5823  3 Ir 2.40

Calculated values
Total energy: -5.10 eV/atom
ΔE to the lowest computed polymorph: 0 meV/atom
Formation energy from raw total energies: 103 meV per atom

No. 8
Material: Sr4CoMo
Method: DFT, PBE-GGA
State: optimized geometry

Lattice parameters (Å, degrees): 6.8981 6.8981 6.8981 60.00 60.00 60.00
Closest atoms and distances in Å follow each position.
Fractional coordinates of all 6 atoms:
1 Sr 0.8746 0.3751 0.3751  6 Sr 3.45
2 Sr 0.3751 0.3751 0.8746  6 Sr 3.45
3 Sr 0.3751 0.8746 0.3751  6 Sr 3.45
4 Sr 0.3751 0.3751 0.3751  6 Sr 3.45
5 Co 0.7500 0.7500 0.7500  12 Sr 4.04, 4 Mo 4.22
6 Mo 0.0000 0.0000 0.0000  12 Sr 4.04, 4 Co 4.22

Calculated values
Formation energy from the elements: 1499 meV per atom
Total energy: -2.61 eV/atom

No. 9
Material: Ce3ZnGa2
Method: DFT, PBE-GGA
State: optimized geometry

Lattice parameters (Å, degrees): 3.2009 3.2009 13.1024 90.00 90.00 90.00
Closest atoms and distances in Å follow each position.
Fractional coordinates of all 6 atoms:
1 Ce 0.0000 0.0000 0.0000  8 Ga 3.15, 4 Ce 3.20
2 Ce 0.0000 0.0000 0.6679  4 Ga 3.13, 4 Zn 3.16, 4 Ce 3.20
3 Ce 0.0000 0.0000 0.3321  4 Ga 3.13, 4 Zn 3.16, 4 Ce 3.20
4 Zn 0.5000 0.5000 0.5000  8 Ce 3.16, 4 Zn 3.20
5 Ga 0.5000 0.5000 0.8330  8 Ce 3.13-3.15, 4 Ga 3.20
6 Ga 0.5000 0.5000 0.1670  8 Ce 3.13-3.15, 4 Ga 3.20

Calculated values
Formation energy from the elements: -394 meV per atom
Total energy: -4.58 eV/atom

No. 10
Material: Cs2Hg2As
Method: DFT, PBE-GGA
State: optimized geometry

Lattice parameters (Å, degrees): 7.3503 7.3503 6.7027 56.75 56.75 90.00
Closest atoms and distances in Å follow each position.
Fractional coordinates of all 5 atoms:
1 Cs 0.7500 0.2500 0.5000  4 Hg 3.72
2 Cs 0.2500 0.7500 0.5000  4 Hg 3.72
3 As 0.0000 0.0000 0.0000  2 Hg 2.72
4 Hg 0.3215 0.3215 0.3571  1 As 2.72, 1 Hg 3.02
5 Hg 0.6785 0.6785 0.6429  1 As 2.72, 1 Hg 3.02

Calculated values
Formation energy from the elements: -212 meV per atom
Total energy: -1.60 eV/atom
ΔE to the lowest computed polymorph: 105 meV/atom

No. 11
Material: MgTa2Si2
Method: DFT, PBE-GGA
State: optimized geometry

Lattice parameters (Å, degrees): 6.8092 6.8092 3.4656 90.00 90.00 90.00
Closest atoms and distances in Å follow each position.
Fractional coordinates of all 10 atoms:
1 Si 0.3719 0.8719 0.0000  1 Si 2.47, 6 Ta 2.64-2.65, 2 Mg 2.68
2 Si 0.8719 0.6281 0.0000  1 Si 2.47, 6 Ta 2.64-2.65, 2 Mg 2.68
3 Si 0.6281 0.1281 0.0000  1 Si 2.47, 6 Ta 2.64-2.65, 2 Mg 2.68
4 Si 0.1281 0.3719 0.0000  1 Si 2.47, 6 Ta 2.64-2.65, 2 Mg 2.68
5 Mg 0.0000 0.0000 0.0000  4 Si 2.68
6 Mg 0.5000 0.5000 0.0000  4 Si 2.68
7 Ta 0.1648 0.6648 0.5000  6 Si 2.64-2.65
8 Ta 0.6648 0.8352 0.5000  6 Si 2.64-2.65
9 Ta 0.8352 0.3352 0.5000  6 Si 2.64-2.65
10 Ta 0.3352 0.1648 0.5000  6 Si 2.64-2.65

Calculated values
Total energy: -7.54 eV/atom
Formation energy from raw total energies: -309 meV per atom